(1)
# PmFe4P2 | Alexandria via LeMat-Bulk | PBE-GGA | relaxed
data_PmFe4P2
_chemical_formula_sum 'Pm2 Fe8 P4'
_space_group_name_H-M_alt 'C m m m'
_space_group_IT_number 65
_space_group_name_Hall '-C 2 2'
_cell_length_a 3.8051
_cell_length_b 13.3021
_cell_length_c 3.7888
_cell_angle_alpha 90.00
_cell_angle_beta 90.00
_cell_angle_gamma 90.00
loop_
_atom_site_label
_atom_site_type_symbol
_atom_site_fract_x
_atom_site_fract_y
_atom_site_fract_z
Pm1 Pm 0.0000 0.0000 0.0000
Fe1 Fe 0.0000 0.1903 0.5000
Fe2 Fe 0.0000 0.3065 0.0000
P1 P 0.0000 0.3942 0.5000
# Magnetization, μB per formula unit: 3.76
# Electronic total energy, eV for the cell shown: -106.865

(2)
# Pm2FeP | Alexandria via LeMat-Bulk | PBE-GGA | relaxed
data_Pm2FeP
_chemical_formula_sum 'Pm2 Fe1 P1'
_space_group_name_H-M_alt 'P 4/m m m'
_space_group_IT_number 123
_space_group_name_Hall '-P 4 2'
_cell_length_a 4.8683
_cell_length_b 4.8683
_cell_length_c 3.6750
_cell_angle_alpha 90.00
_cell_angle_beta 90.00
_cell_angle_gamma 90.00
loop_
_atom_site_label
_atom_site_type_symbol
_atom_site_fract_x
_atom_site_fract_y
_atom_site_fract_z
Pm1 Pm 0.0000 0.5000 0.0000
Fe1 Fe 0.0000 0.0000 0.5000
P1 P 0.5000 0.5000 0.5000
# Distance to the lowest polymorph of the same formula, meV/atom: 0
# Magnetization, μB per formula unit: 1.45
# Electronic total energy, eV for the cell shown: -24.971

(3)
# PmFe5P3 | Alexandria via LeMat-Bulk | PBE-GGA | relaxed
data_PmFe5P3
_chemical_formula_sum 'Pm4 Fe20 P12'
_space_group_name_H-M_alt 'C m c m'
_space_group_IT_number 63
_space_group_name_Hall '-C 2c 2'
_cell_length_a 3.7303
_cell_length_b 11.8964
_cell_length_c 10.8172
_cell_angle_alpha 90.00
_cell_angle_beta 90.00
_cell_angle_gamma 90.00
loop_
_atom_site_label
_atom_site_type_symbol
_atom_site_fract_x
_atom_site_fract_y
_atom_site_fract_z
Pm1 Pm 0.0000 0.1756 0.2500
Fe1 Fe 0.0000 0.0000 0.0000
Fe2 Fe 0.0000 0.1898 0.5626
Fe3 Fe 0.0000 0.4597 0.1395
P1 P 0.0000 0.1057 0.7500
P2 P 0.0000 0.3695 0.5426
# Magnetization, μB per formula unit: 5.34
# Electronic total energy, eV for the cell shown: -277.273

(4)
# PmFe2P2 | Alexandria via LeMat-Bulk | PBE-GGA | relaxed
data_PmFe2P2
_chemical_formula_sum 'Pm2 Fe4 P4'
_space_group_name_H-M_alt 'I 4/m m m'
_space_group_IT_number 139
_space_group_name_Hall '-I 4 2'
_cell_length_a 3.8427
_cell_length_b 3.8427
_cell_length_c 9.9419
_cell_angle_alpha 90.00
_cell_angle_beta 90.00
_cell_angle_gamma 90.00
loop_
_atom_site_label
_atom_site_type_symbol
_atom_site_fract_x
_atom_site_fract_y
_atom_site_fract_z
Pm1 Pm 0.0000 0.0000 0.0000
Fe1 Fe 0.0000 0.5000 0.2500
P1 P 0.0000 0.0000 0.3602
# Magnetization, μB per formula unit: 0.00
# Electronic total energy, eV for the cell shown: -74.772

(5)
# Pm2FeP | Alexandria via LeMat-Bulk | PBE-GGA | relaxed
data_Pm2FeP
_chemical_formula_sum 'Pm8 Fe4 P4'
_space_group_name_H-M_alt 'F m -3 m'
_space_group_IT_number 225
_space_group_name_Hall '-F 4 2 3'
_cell_length_a 7.0464
_cell_length_b 7.0464
_cell_length_c 7.0464
_cell_angle_alpha 90.00
_cell_angle_beta 90.00
_cell_angle_gamma 90.00
loop_
_atom_site_label
_atom_site_type_symbol
_atom_site_fract_x
_atom_site_fract_y
_atom_site_fract_z
Pm1 Pm 0.2500 0.2500 0.2500
Fe1 Fe 0.0000 0.0000 0.0000
P1 P 0.0000 0.0000 0.5000
# Distance to the lowest polymorph of the same formula, meV/atom: 96
# Magnetization, μB per formula unit: 1.24
# Electronic total energy, eV for the cell shown: -98.353

(6)
# PmFeP | Alexandria via LeMat-Bulk | PBE-GGA | relaxed
data_PmFeP
_chemical_formula_sum 'Pm1 Fe1 P1'
_space_group_name_H-M_alt 'P -6 m 2'
_space_group_IT_number 187
_space_group_name_Hall 'P -6 2'
_cell_length_a 3.9787
_cell_length_b 3.9787
_cell_length_c 4.0568
_cell_angle_alpha 90.00
_cell_angle_beta 90.00
_cell_angle_gamma 120.00
loop_
_atom_site_label
_atom_site_type_symbol
_atom_site_fract_x
_atom_site_fract_y
_atom_site_fract_z
Pm1 Pm 0.0000 0.0000 0.0000
Fe1 Fe 0.6667 0.3333 0.5000
P1 P 0.3333 0.6667 0.5000
# Distance to the lowest polymorph of the same formula, meV/atom: 0
# Magnetization, μB per formula unit: 1.80
# Electronic total energy, eV for the cell shown: -21.079

Number 1: DFT formation energy -0.573 eV/atom. Number 2: DFT formation energy -0.399 eV/atom. Number 3: DFT formation energy -0.669 eV/atom. Number 4: DFT formation energy -0.978 eV/atom. Number 5: DFT formation energy -0.304 eV/atom. Number 6: DFT formation energy -0.819 eV/atom.